Entry 1:
Below is NiAuSe2 after structural relaxation, with properties calculated at the GGA-PBEsol level.

Properties
The density of states at the Fermi level is 6.052 states/eV per cell. For the density, the calculation gives 10.4 g/cm³. The value obtained for the total energy is -4.082 eV per atom.

Cell lengths 5.603, 6.801, 3.472 Å; angles 90.00, 90.00, 90.00 degrees
Space group Cmmm (No. 65)
Asymmetric unit:
Ni 0.000 0.000 0.000 (multiplicity 2)
Au 0.000 0.500 0.000 (multiplicity 2)
Se 0.250 0.250 0.500 (multiplicity 4)

=====

Entry 2:
Below is TcNiAu2Se after structural relaxation, with properties calculated at the GGA-PBEsol level.

Properties
The density of states at the Fermi level is 10.946 states/eV per cell. For the density, the calculation gives 9.3 g/cm³. The value obtained for the total energy is -4.572 eV per atom.

Cell lengths 5.007, 5.007, 4.481 Å; angles 90.00, 90.00, 90.00 degrees
Space group P4/mmm (No. 123)
Asymmetric unit:
Tc 0.000 0.000 0.000 (multiplicity 1)
Ni 0.500 0.500 0.500 (multiplicity 1)
Au 0.000 0.500 0.000 (multiplicity 2)
Se 0.000 0.000 0.500 (multiplicity 1)

=====

Entry 3:
Below is SiNiAu after structural relaxation, with properties calculated at the GGA-PBEsol level.

Properties
The density of states at the Fermi level is 6.764 states/eV per cell. For the density, the calculation gives 10.7 g/cm³. The value obtained for the total energy is -5.447 eV per atom.

Cell lengths 5.607, 5.607, 5.607 Å; angles 90.00, 90.00, 90.00 degrees
Space group F-43m (No. 216)
Asymmetric unit:
Si 0.000 0.000 0.000 (multiplicity 4)
Ni 0.250 0.250 0.750 (multiplicity 4)
Au 0.250 0.250 0.250 (multiplicity 4)

=====

Entry 4:
Below is SiNi6Au after structural relaxation, with properties calculated at the GGA-PBEsol level.

Properties
The density of states at the Fermi level is 84.894 states/eV per cell. For the density, the calculation gives 10.7 g/cm³. The value obtained for the total energy is -6.019 eV per atom.

Cell lengths 7.057, 10.068, 10.094 Å; angles 90.00, 90.00, 90.00 degrees
Space group Cmmm (No. 65)
Asymmetric unit:
Si 0.000 0.000 0.246 (multiplicity 4)
Si 0.000 0.254 0.000 (multiplicity 4)
Ni 0.000 0.000 0.000 (multiplicity 2)
Ni 0.000 0.000 0.500 (multiplicity 2)
Ni 0.000 0.245 0.238 (multiplicity 8)
Ni 0.000 0.500 0.000 (multiplicity 2)
Ni 0.000 0.500 0.500 (multiplicity 2)
Ni 0.238 0.122 0.367 (multiplicity 16)
Ni 0.243 0.127 0.119 (multiplicity 16)
Au 0.000 0.255 0.500 (multiplicity 4)
Au 0.000 0.500 0.249 (multiplicity 4)

=====

Entry 5:
Below is SrNiAu after structural relaxation, with properties calculated at the GGA-PBEsol level.

Properties
The density of states at the Fermi level is 2.644 states/eV per cell. For the density, the calculation gives 8.5 g/cm³. As for the energy relative to the elements: -0.305 eV/atom.

Cell lengths 4.2841, 4.2841, 4.1961 Å; angles 90.00, 90.00, 120.00 degrees
Space group P-6m2 (No. 187)
Asymmetric unit:
Sr 0.0000 0.0000 0.0000 (multiplicity 1)
Ni 0.6667 0.3333 0.5000 (multiplicity 1)
Au 0.3333 0.6667 0.5000 (multiplicity 1)

=====

Entry 6:
Below is SrNi3Au after structural relaxation, with properties calculated at the GGA-PBEsol level.

Properties
The density of states at the Fermi level is 11.929 states/eV per cell. For the density, the calculation gives 7.5 g/cm³. As for the energy relative to the elements: 0.652 eV/atom.

Cell lengths 4.682, 4.682, 4.682 Å; angles 90.00, 90.00, 90.00 degrees
Space group Pm-3m (No. 221)
Asymmetric unit:
Sr 0.000 0.000 0.000 (multiplicity 1)
Ni 0.000 0.500 0.500 (multiplicity 3)
Au 0.500 0.500 0.500 (multiplicity 1)

=====

Entry 7:
Below is Sr2NiAu after structural relaxation, with properties calculated at the GGA-PBEsol level.

Properties
The density of states at the Fermi level is 3.919 states/eV per cell. For the density, the calculation gives 6.7 g/cm³. As for the energy relative to the elements: -0.334 eV/atom.

Cell lengths 4.363, 4.345, 11.234 Å; angles 90.00, 90.00, 90.00 degrees
Space group Amm2 (No. 38)
Asymmetric unit:
Sr 0.000 0.000 0.000 (multiplicity 2)
Sr 0.500 0.000 0.283 (multiplicity 2)
Ni 0.500 0.000 0.584 (multiplicity 2)
Au 0.000 0.000 0.705 (multiplicity 2)

=====

Entry 8:
Below is SrNi2Au2 after structural relaxation, with properties calculated at the GGA-PBEsol level.

Properties
The density of states at the Fermi level is 14.218 states/eV per cell. For the density, the calculation gives 10.7 g/cm³. As for the energy relative to the elements: -0.097 eV/atom.

Cell lengths 4.044, 4.044, 11.420 Å; angles 90.00, 90.00, 90.00 degrees
Space group I4/mmm (No. 139)
Asymmetric unit:
Sr 0.000 0.000 0.000 (multiplicity 2)
Ni 0.000 0.500 0.250 (multiplicity 4)
Au 0.000 0.000 0.382 (multiplicity 4)

=====

Entry 9:
Below is TaNi2Au after structural relaxation, with properties calculated at the GGA-PBEsol level.

Properties
The density of states at the Fermi level is 7.688 states/eV per cell. For the density, the calculation gives 15.2 g/cm³. As for the energy relative to the elements: -0.210 eV/atom.

Cell lengths 3.916, 3.916, 7.055 Å; angles 90.00, 90.00, 90.00 degrees
Space group I4/mmm (No. 139)
Asymmetric unit:
Ta 0.000 0.000 0.000 (multiplicity 2)
Ni 0.000 0.500 0.250 (multiplicity 4)
Au 0.000 0.000 0.500 (multiplicity 2)

=====

Entry 10:
Below is TaNi2Au after structural relaxation, with properties calculated at the GGA-PBEsol level.

Properties
The density of states at the Fermi level is 2.847 states/eV per cell. For the density, the calculation gives 14.9 g/cm³. As for the energy relative to the elements: -0.178 eV/atom.

Cell lengths 3.180, 3.180, 5.468 Å; angles 90.00, 90.00, 90.00 degrees
Space group P4/mmm (No. 123)
Asymmetric unit:
Ta 0.000 0.000 0.000 (multiplicity 1)
Ni 0.500 0.500 0.233 (multiplicity 2)
Au 0.000 0.000 0.500 (multiplicity 1)

=====

Entry 11:
Below is TaNiAu3 after structural relaxation, with properties calculated at the GGA-PBEsol level.

Properties
The density of states at the Fermi level is 12.218 states/eV per cell. For the density, the calculation gives 11.1 g/cm³. As for the energy relative to the elements: 1.580 eV/atom.

Cell lengths 4.988, 4.988, 4.988 Å; angles 90.00, 90.00, 90.00 degrees
Space group Pm-3m (No. 221)
Asymmetric unit:
Ta 0.000 0.000 0.000 (multiplicity 1)
Ni 0.500 0.500 0.500 (multiplicity 1)
Au 0.000 0.000 0.500 (multiplicity 3)

=====

Entry 12:
Below is TaNiAu after structural relaxation, with properties calculated at the GGA-PBEsol level.

Properties
The calculation puts the energy relative to the lowest polymorph listed for this composition at 0.0052 eV/atom. The density of states at the Fermi level is 3.297 states/eV per cell. For the density, the calculation gives 16.3 g/cm³. As for the energy relative to the elements: -0.203 eV/atom.

Cell lengths 3.263, 3.263, 8.357 Å; angles 90.00, 90.00, 90.00 degrees
Space group I4mm (No. 107)
Asymmetric unit:
Ta 0.000 0.000 0.000 (multiplicity 2)
Ni 0.000 0.000 0.345 (multiplicity 2)
Au 0.000 0.000 0.682 (multiplicity 2)

=====

Entry 13:
Below is Ta2Ni2Au after structural relaxation, with properties calculated at the GGA-PBEsol level.

Properties
The density of states at the Fermi level is 9.382 states/eV per cell. For the density, the calculation gives 15.5 g/cm³. As for the energy relative to the elements: -0.226 eV/atom.

Cell lengths 6.699, 6.699, 3.225 Å; angles 90.00, 90.00, 90.00 degrees
Space group P4/mbm (No. 127)
Asymmetric unit:
Ta 0.170 0.330 0.000 (multiplicity 4)
Ni 0.126 0.626 0.500 (multiplicity 4)
Au 0.000 0.000 0.500 (multiplicity 2)

=====

Entry 14:
Below is TaNi2Au after structural relaxation, with properties calculated at the GGA-PBEsol level.

Properties
The density of states at the Fermi level is 5.856 states/eV per cell. For the density, the calculation gives 15.2 g/cm³. As for the energy relative to the elements: -0.212 eV/atom.

Cell lengths 3.676, 3.676, 8.010 Å; angles 90.00, 90.00, 90.00 degrees
Space group I-4m2 (No. 119)
Asymmetric unit:
Ta 0.000 0.000 0.000 (multiplicity 2)
Ni 0.000 0.000 0.500 (multiplicity 2)
Ni 0.000 0.500 0.750 (multiplicity 2)
Au 0.000 0.500 0.250 (multiplicity 2)

=====

Entry 15:
Below is TaNiAu after structural relaxation, with properties calculated at the GGA-PBEsol level.

Properties
The calculation puts the energy relative to the lowest polymorph listed for this composition at 0.6829 eV/atom. The density of states at the Fermi level is 9.340 states/eV per cell. For the density, the calculation gives 13.5 g/cm³. As for the energy relative to the elements: 0.475 eV/atom.

Cell lengths 5.990, 5.990, 5.990 Å; angles 90.00, 90.00, 90.00 degrees
Space group F-43m (No. 216)
Asymmetric unit:
Ta 0.000 0.000 0.000 (multiplicity 4)
Ni 0.250 0.250 0.750 (multiplicity 4)
Au 0.250 0.250 0.250 (multiplicity 4)

=====

Entry 16:
Below is TaNiAu2 after structural relaxation, with properties calculated at the GGA-PBEsol level.

Properties
The density of states at the Fermi level is 2.180 states/eV per cell. For the density, the calculation gives 17.1 g/cm³. As for the energy relative to the elements: -0.109 eV/atom.

Cell lengths 2.849, 2.849, 7.573 Å; angles 90.00, 90.00, 90.00 degrees
Space group P4mm (No. 99)
Asymmetric unit:
Ta 0.000 0.000 0.000 (multiplicity 1)
Ni 0.500 0.500 0.781 (multiplicity 1)
Au 0.000 0.000 0.551 (multiplicity 1)
Au 0.500 0.500 0.270 (multiplicity 1)

=====

Entry 17:
Below is TaNiAu2 after structural relaxation, with properties calculated at the GGA-PBEsol level.

Properties
The density of states at the Fermi level is 1.962 states/eV per cell. For the density, the calculation gives 17.0 g/cm³. As for the energy relative to the elements: -0.108 eV/atom.

Cell lengths 2.812, 3.141, 7.009 Å; angles 90.00, 90.00, 90.00 degrees
Space group Pmm2 (No. 25)
Asymmetric unit:
Ta 0.000 0.000 0.000 (multiplicity 1)
Ni 0.500 0.500 0.790 (multiplicity 1)
Au 0.000 0.000 0.562 (multiplicity 1)
Au 0.500 0.500 0.280 (multiplicity 1)

=====

Entry 18:
Below is TaNiAu after structural relaxation, with properties calculated at the GGA-PBEsol level.

Properties
The calculation puts the energy relative to the lowest polymorph listed for this composition at 0.0000 eV/atom. The density of states at the Fermi level is 3.713 states/eV per cell. For the density, the calculation gives 16.4 g/cm³. As for the energy relative to the elements: -0.208 eV/atom.

Cell lengths 2.935, 3.626, 8.334 Å; angles 90.00, 90.00, 90.00 degrees
Space group Imm2 (No. 44)
Asymmetric unit:
Ta 0.000 0.000 0.000 (multiplicity 2)
Ni 0.000 0.000 0.345 (multiplicity 2)
Au 0.000 0.000 0.679 (multiplicity 2)

=====

Entry 19:
Below is TaNiAu after structural relaxation, with properties calculated at the GGA-PBEsol level.

Properties
The calculation puts the energy relative to the lowest polymorph listed for this composition at 0.3776 eV/atom. The density of states at the Fermi level is 20.564 states/eV per cell. For the density, the calculation gives 14.7 g/cm³. As for the energy relative to the elements: 0.169 eV/atom.

Cell lengths 5.825, 5.825, 5.825 Å; angles 90.00, 90.00, 90.00 degrees
Space group F-43m (No. 216)
Asymmetric unit:
Ta 0.000 0.000 0.000 (multiplicity 4)
Ni 0.250 0.250 0.250 (multiplicity 4)
Au 0.000 0.000 0.500 (multiplicity 4)

=====

Entry 20:
Below is TaNiTe2Au after structural relaxation, with properties calculated at the GGA-PBEsol level.

Properties
The density of states at the Fermi level is 4.179 states/eV per cell. For the density, the calculation gives 10.7 g/cm³. The value obtained for the total energy is -5.112 eV per atom.

Cell lengths 4.807, 4.807, 4.651 Å; angles 90.00, 90.00, 90.00 degrees
Space group P4/mmm (No. 123)
Asymmetric unit:
Ta 0.000 0.000 0.000 (multiplicity 1)
Ni 0.500 0.500 0.500 (multiplicity 1)
Te 0.000 0.500 0.500 (multiplicity 2)
Au 0.500 0.500 0.000 (multiplicity 1)